Entry 1:
A relaxed Y2Re2N crystal. Source: the Alexandria database, functional GGA-PBE.

Properties
Formation energy from raw total energies ... 0.47 eV/atom
Density ... 10.74 g cm⁻³
Excess energy over the best structure of this formula in the dataset ... 0.0 meV per atom

Cell and atoms, written as extended XYZ:
```
10
Lattice="-0.698 -5.553 0.991 2.051 0.680 5.257 -4.995 0.954 1.826" Properties=species:S:1:pos:R:3 pbc="T T T"
Y -2.401 -3.904 3.465
Y -1.265 -2.684 5.937
Y -2.377 -1.235 2.137
Y -1.241 -0.015 4.608
N 0.000 0.000 0.000
N 0.676 -2.437 3.124
Re 1.478 -1.289 4.717
Re -0.125 -3.584 1.531
Re 0.783 -4.180 4.326
Re 0.570 -0.693 1.921
```

Entry 2:
A relaxed YReN3 crystal. Source: the Alexandria database, functional GGA-PBE.

Properties
Formation energy from raw total energies ... -0.47 eV/atom
Density ... 7.20 g cm⁻³

Cell and atoms, written as extended XYZ:
```
20
Lattice="5.538 0.000 0.000 0.000 9.308 0.000 0.000 0.000 5.679" Properties=species:S:1:pos:R:3 pbc="T T T"
N 4.754 3.775 0.792
N 4.087 6.981 1.018
N 4.754 0.879 0.792
N 1.985 3.775 2.047
N 1.451 2.327 4.661
N 0.784 5.533 4.887
N 3.552 5.533 3.632
N 0.784 8.429 4.887
N 1.985 0.879 2.047
N 3.552 8.429 3.632
N 4.219 2.327 3.858
N 1.318 6.981 1.822
Re 2.444 2.327 2.998
Re 0.325 6.981 0.158
Re 5.213 2.327 5.521
Re 3.094 6.981 2.681
Y 2.769 0.000 0.000
Y 0.000 0.000 2.840
Y 2.769 4.654 0.000
Y 0.000 4.654 2.840
```

Entry 3:
A relaxed YReN3 crystal. Source: the Alexandria database, functional GGA-PBE.

Properties
Formation energy from raw total energies ... -0.42 eV/atom
Density ... 8.30 g cm⁻³

Cell and atoms, written as extended XYZ:
```
10
Lattice="4.273 0.004 -0.004 -0.262 6.010 0.000 -0.074 1.092 4.943" Properties=species:S:1:pos:R:3 pbc="T T T"
N 2.944 5.311 2.334
N 0.905 2.107 3.991
N 1.817 1.105 3.778
N 0.916 3.873 1.468
N 3.097 2.562 0.053
N 3.782 6.415 2.284
Re 1.163 3.869 4.884
Re 1.075 5.317 2.851
Y 3.592 5.357 0.021
Y 3.269 2.801 2.562
```

Entry 4:
A relaxed YRe2N6 crystal. Source: the Alexandria database, functional GGA-PBE.

Properties
Formation energy from raw total energies ... -0.09 eV/atom
Density ... 5.80 g cm⁻³

Cell and atoms, written as extended XYZ:
```
9
Lattice="-2.421 -2.764 0.472 1.179 -4.195 -3.980 5.250 -6.742 1.987" Properties=species:S:1:pos:R:3 pbc="T T T"
N 3.441 -5.269 1.333
N 3.124 -7.844 -0.841
N 0.348 -3.009 -1.295
N 3.660 -10.692 -0.226
N 0.568 -8.432 -2.853
N 0.885 -5.856 -0.680
Re -0.452 -4.665 -0.560
Re 4.460 -9.036 -0.961
Y 3.215 -5.469 -0.996
```

Entry 5:
A relaxed Y2Re2N crystal. Source: the Alexandria database, functional GGA-PBE.

Properties
Formation energy from raw total energies ... 0.68 eV/atom
Density ... 8.93 g cm⁻³
Excess energy over the best structure of this formula in the dataset ... 211.7 meV per atom

Cell and atoms, written as extended XYZ:
```
5
Lattice="-4.247 0.886 3.682 2.976 -2.640 4.069 0.698 1.949 4.734" Properties=species:S:1:pos:R:3 pbc="T T T"
Re -0.090 0.280 4.227
Re -0.484 -0.085 8.257
Y -2.093 0.979 6.145
Y 1.519 -0.784 6.339
N 0.000 0.000 0.000
```

Entry 6:
A relaxed YReN3 crystal. Source: the Alexandria database, functional GGA-PBE.

Properties
Formation energy from raw total energies ... -0.45 eV/atom
Density ... 8.10 g cm⁻³

Cell and atoms, written as extended XYZ:
```
10
Lattice="4.083 0.000 -0.010 -0.599 6.161 0.003 -0.256 -1.814 5.171" Properties=species:S:1:pos:R:3 pbc="T T T"
N 0.304 -0.074 3.815
N 3.270 -0.924 3.751
N 2.355 1.822 3.093
N 0.506 1.245 1.272
N 0.645 3.391 4.234
N 2.824 4.377 0.899
Re 2.736 3.318 4.300
Re 0.309 1.722 3.113
Y 2.511 2.072 0.342
Y 0.749 5.175 1.846
```

Entry 7:
A relaxed YReN crystal. Source: the Alexandria database, functional GGA-PBE.

Properties
Formation energy from raw total energies ... -0.34 eV/atom
Density ... 9.38 g cm⁻³

Cell and atoms, written as extended XYZ:
```
12
Lattice="3.298 0.000 0.000 0.000 6.531 -0.026 0.000 0.038 9.501" Properties=species:S:1:pos:R:3 pbc="T T T"
Y 2.474 5.739 6.012
Y 0.825 0.830 3.464
Y 0.825 4.096 3.451
Y 2.474 2.473 6.025
N 2.474 5.729 3.605
N 0.825 0.840 5.871
N 0.825 4.105 5.858
N 2.474 2.463 3.617
Re 0.825 2.451 0.555
Re 2.474 0.852 8.934
Re 0.825 5.717 0.542
Re 2.474 4.117 8.921
```

Entry 8:
A relaxed YReN3 crystal. Source: the Alexandria database, functional GGA-PBE.

Properties
Formation energy from raw total energies ... -0.59 eV/atom
Density ... 7.26 g cm⁻³

Cell and atoms, written as extended XYZ:
```
20
Lattice="20.281 0.000 -0.866 0.000 6.561 0.000 -7.084 0.000 2.484" Properties=species:S:1:pos:R:3 pbc="T T T"
Re 11.193 0.740 -0.144
Re -2.489 2.540 1.531
Re 15.687 4.021 0.087
Re 2.004 5.821 1.762
N -2.719 4.452 1.637
N 4.623 1.811 0.674
N -0.502 3.016 1.459
N 15.916 2.109 -0.020
N 8.575 4.750 0.944
N 13.180 0.265 -0.216
N 10.963 5.389 -0.038
N 2.234 1.172 1.655
N 0.017 6.297 1.834
N 13.699 3.545 0.159
N 11.221 1.469 1.483
N 1.976 5.092 0.135
Y 5.966 4.922 0.886
Y 19.648 4.920 -0.789
Y -6.451 1.641 2.407
Y 7.232 1.640 0.732
```

Entry 9:
A relaxed YReN3 crystal. Source: the Alexandria database, functional GGA-PBE.

Properties
Formation energy from raw total energies ... -0.18 eV/atom
Density ... 9.08 g cm⁻³

Cell and atoms, written as extended XYZ:
```
10
Lattice="6.044 1.982 -2.271 -6.358 1.591 1.632 1.415 0.944 4.591" Properties=species:S:1:pos:R:3 pbc="T T T"
N -2.117 3.089 1.323
N 0.000 0.000 0.000
N 0.708 0.472 2.296
N 3.219 1.429 2.630
N -1.917 0.817 1.728
N 3.019 3.700 2.224
Re -0.406 2.003 1.018
Re 1.508 2.514 2.934
Y 5.168 2.629 1.782
Y -4.066 1.888 2.170
```

Entry 10:
A relaxed YReN3 crystal. Source: the Alexandria database, functional GGA-PBE.

Properties
Formation energy from raw total energies ... -0.43 eV/atom
Density ... 8.49 g cm⁻³

Cell and atoms, written as extended XYZ:
```
10
Lattice="-3.150 2.108 -1.072 -3.700 -4.729 -1.458 -2.208 -0.857 4.649" Properties=species:S:1:pos:R:3 pbc="T T T"
N -3.648 1.437 0.743
N -6.500 -1.105 3.060
N -3.758 -0.704 2.960
N -6.720 -2.855 0.430
N -2.555 -0.337 3.499
N -3.847 -2.420 0.140
Y -5.187 -0.283 1.025
Y -5.628 -2.474 -1.948
Re -4.963 -2.261 3.506
Re -5.021 -3.537 1.302
```

Entry 11:
A relaxed YReN3 crystal. Source: the Alexandria database, functional GGA-PBE.

Properties
Formation energy from raw total energies ... -0.24 eV/atom
Density ... 7.70 g cm⁻³

Cell and atoms, written as extended XYZ:
```
10
Lattice="3.880 0.000 0.000 0.000 3.880 0.000 1.940 1.940 9.083" Properties=species:S:1:pos:R:3 pbc="T T T"
N 1.940 4.563 7.616
N 2.623 3.880 1.467
N 1.940 1.940 4.474
N 3.880 3.880 4.609
N 1.256 3.880 1.467
N 1.940 3.196 7.616
Re 1.940 3.880 4.542
Re 0.000 0.000 0.000
Y 3.880 1.940 2.791
Y 3.880 1.940 6.292
```

Entry 12:
A relaxed YReN3 crystal. Source: the Alexandria database, functional GGA-PBE.

Properties
Formation energy from raw total energies ... -0.49 eV/atom
Density ... 7.95 g cm⁻³

Cell and atoms, written as extended XYZ:
```
5
Lattice="3.658 0.009 0.003 1.646 2.974 0.012 -1.962 1.045 6.101" Properties=species:S:1:pos:R:3 pbc="T T T"
Re -0.072 3.404 6.039
N 0.247 3.211 4.225
N 3.846 1.373 0.034
N 2.199 2.165 1.837
Y 0.375 1.223 2.838
```

Entry 13:
A relaxed YReN3 crystal. Source: the Alexandria database, functional GGA-PBE.

Properties
Formation energy from raw total energies ... -0.48 eV/atom
Density ... 8.17 g cm⁻³

Cell and atoms, written as extended XYZ:
```
10
Lattice="3.670 4.567 0.408 4.665 0.190 3.564 5.577 -0.060 -1.841" Properties=species:S:1:pos:R:3 pbc="T T T"
N 5.898 2.164 -0.821
N 8.015 2.534 2.952
N 5.132 3.213 1.864
N 8.780 1.484 0.267
N 6.120 0.413 1.584
N 7.792 4.284 0.548
Re 8.965 3.027 1.373
Re 4.948 1.671 0.758
Y 1.865 0.630 0.286
Y 12.047 4.068 1.846
```

Entry 14:
A relaxed Zn2Re2N crystal. Source: the Alexandria database, functional GGA-PBE.

Properties
Formation energy from raw total energies ... 0.27 eV/atom
Density ... 12.31 g cm⁻³

Cell and atoms, written as extended XYZ:
```
10
Lattice="5.459 0.000 0.000 0.000 5.459 0.000 0.000 0.000 4.684" Properties=species:S:1:pos:R:3 pbc="T T T"
Zn 1.845 0.884 2.342
Zn 0.884 3.613 2.342
Zn 3.613 4.575 2.342
Zn 4.575 1.845 2.342
Re 1.805 4.535 0.000
Re 4.535 3.654 0.000
Re 0.924 1.805 0.000
Re 3.654 0.924 0.000
N 0.000 0.000 0.000
N 2.729 2.729 0.000
```

Entry 15:
A relaxed ZnReN3 crystal. Source: the Alexandria database, functional GGA-PBE.

Properties
Formation energy from raw total energies ... 2.32 eV/atom
Density ... 9.52 g cm⁻³

Cell and atoms, written as extended XYZ:
```
5
Lattice="-0.776 -3.033 -1.997 3.439 0.042 -1.400 1.166 -2.142 2.801" Properties=species:S:1:pos:R:3 pbc="T T T"
N 1.720 0.021 -0.700
N -0.388 -1.517 -0.998
N 0.583 -1.071 1.400
Re 1.915 -2.567 -0.298
Zn 0.000 0.000 0.000
```

Entry 16:
A relaxed Zn4ReN5 crystal. Source: the Alexandria database, functional GGA-PBE.

Properties
Formation energy from raw total energies ... 0.25 eV/atom
Density ... 7.66 g cm⁻³

Cell and atoms, written as extended XYZ:
```
10
Lattice="4.781 0.000 2.306 2.391 4.600 1.153 0.392 0.000 5.296" Properties=species:S:1:pos:R:3 pbc="T T T"
Zn 1.924 0.979 2.943
Zn 6.284 3.621 6.123
Zn 4.678 2.785 3.343
Zn 3.530 1.815 5.723
N 3.806 0.915 3.678
N 5.316 1.659 6.655
N 1.917 0.000 0.925
N 3.249 3.685 4.832
N 1.738 2.941 1.855
Re 0.252 0.000 0.122
```

Entry 17:
A relaxed ZnReN3 crystal. Source: the Alexandria database, functional GGA-PBE.

Properties
Formation energy from raw total energies ... 0.77 eV/atom
Density ... 8.29 g cm⁻³

Cell and atoms, written as extended XYZ:
```
5
Lattice="-3.396 -1.019 1.597 1.653 -3.195 1.478 0.924 1.970 3.223" Properties=species:S:1:pos:R:3 pbc="T T T"
N 0.827 -1.597 0.739
N -1.698 -0.509 0.798
N 0.462 0.985 1.612
Re 0.000 0.000 0.000
Zn -0.410 -1.122 3.149
```

Entry 18:
A relaxed ZnReN crystal. Source: the Alexandria database, functional GGA-PBE.

Properties
Formation energy from raw total energies ... 0.35 eV/atom
Density ... 12.10 g cm⁻³
Excess energy over the best structure of this formula in the dataset ... 218.9 meV per atom

Cell and atoms, written as extended XYZ:
```
6
Lattice="-0.904 2.605 0.808 -1.639 0.571 -3.675 -5.365 -2.484 2.007" Properties=species:S:1:pos:R:3 pbc="T T T"
N -4.409 0.135 -0.260
N -2.227 -1.031 0.833
Zn -0.219 -0.101 0.082
Zn -6.417 -0.795 0.491
Re -3.991 -0.336 1.728
Re -2.645 -0.560 -1.155
```

Entry 19:
A relaxed ZnReN crystal. Source: the Alexandria database, functional GGA-PBE.

Properties
Formation energy from raw total energies ... 0.13 eV/atom
Density ... 12.23 g cm⁻³
Excess energy over the best structure of this formula in the dataset ... 0.0 meV per atom

Cell and atoms, written as extended XYZ:
```
3
Lattice="-2.078 1.812 0.457 -0.286 -2.674 0.758 2.047 1.138 4.791" Properties=species:S:1:pos:R:3 pbc="T T T"
Zn 1.990 1.106 4.656
Re -0.675 0.764 2.441
N 0.417 -0.456 3.700
```

Entry 20:
A relaxed Zn3ReN crystal. Source: the Alexandria database, functional GGA-PBE.

Properties
Formation energy from raw total energies ... 0.92 eV/atom
Density ... 9.55 g cm⁻³
Excess energy over the best structure of this formula in the dataset ... 0.0 meV per atom

Cell and atoms, written as extended XYZ:
```
5
Lattice="-3.424 -0.835 -2.096 -0.628 -3.306 2.343 -2.167 2.277 2.633" Properties=species:S:1:pos:R:3 pbc="T T T"
Re -3.110 -0.932 1.440
Zn -1.084 1.139 1.316
Zn -1.712 -0.417 -1.048
Zn -0.314 -1.653 1.171
N 0.000 0.000 0.000
```